[1]
# CdFeBIr (GGA-PBE, relaxed)
# Electronic total energy in eV/atom: -5.3800
data_CdFeBIr
_chemical_formula_sum 'Cd1 Fe1 B1 Ir1'
_cell_length_a 4.222
_cell_length_b 4.222
_cell_length_c 4.222
_cell_angle_alpha 60.00
_cell_angle_beta 60.00
_cell_angle_gamma 60.00
_symmetry_space_group_name_H-M 'P 1'
_symmetry_Int_Tables_number 1
loop_
_symmetry_equiv_pos_as_xyz
'x,y,z'
loop_
_atom_site_label
_atom_site_type_symbol
_atom_site_fract_x
_atom_site_fract_y
_atom_site_fract_z
Fe1 Fe 0.750 0.750 0.750
Ir1 Ir 0.250 0.250 0.250
B1 B 0.000 0.000 0.000
Cd1 Cd 0.500 0.500 0.500

---

[2]
# SmRePb2O6 (GGA-PBE, relaxed)
# Electronic total energy in eV/atom: -7.1225
data_SmRePb2O6
_chemical_formula_sum 'Sm1 Re1 Pb2 O6'
_cell_length_a 5.164
_cell_length_b 5.225
_cell_length_c 5.920
_cell_angle_alpha 89.21
_cell_angle_beta 88.61
_cell_angle_gamma 73.46
_symmetry_space_group_name_H-M 'P 1'
_symmetry_Int_Tables_number 1
loop_
_symmetry_equiv_pos_as_xyz
'x,y,z'
loop_
_atom_site_label
_atom_site_type_symbol
_atom_site_fract_x
_atom_site_fract_y
_atom_site_fract_z
O1 O 0.283 0.705 0.264
O2 O 0.283 0.274 0.005
Pb1 Pb 0.317 0.314 0.506
Sm1 Sm 0.000 0.000 0.000
O3 O 0.717 0.726 0.995
O4 O 0.711 0.294 0.263
O5 O 0.717 0.295 0.736
Re1 Re 0.500 0.500 0.000
O6 O 0.289 0.706 0.737
Pb2 Pb 0.683 0.686 0.494

---

[3]
# LaErI2O2 (GGA-PBE, relaxed)
# Electronic total energy in eV/atom: -6.4856
data_LaErI2O2
_chemical_formula_sum 'La1 Er1 I2 O2'
_cell_length_a 4.016
_cell_length_b 4.016
_cell_length_c 9.260
_cell_angle_alpha 90.00
_cell_angle_beta 90.00
_cell_angle_gamma 90.00
_symmetry_space_group_name_H-M 'P 1'
_symmetry_Int_Tables_number 1
loop_
_symmetry_equiv_pos_as_xyz
'x,y,z'
loop_
_atom_site_label
_atom_site_type_symbol
_atom_site_fract_x
_atom_site_fract_y
_atom_site_fract_z
I1 I 0.000 0.000 0.665
I2 I 0.500 0.500 0.325
Er1 Er 0.000 0.000 0.120
O1 O 0.000 0.500 0.009
O2 O 0.500 0.000 0.009
La1 La 0.500 0.500 0.873

---

[4]
# CuPt3S6 (GGA-PBE, relaxed)
# Electronic total energy in eV/atom: -4.8550
data_CuPt3S6
_chemical_formula_sum 'Cu1 Pt3 S6'
_cell_length_a 7.277
_cell_length_b 7.277
_cell_length_c 3.658
_cell_angle_alpha 90.00
_cell_angle_beta 90.00
_cell_angle_gamma 108.02
_symmetry_space_group_name_H-M 'P 1'
_symmetry_Int_Tables_number 1
loop_
_symmetry_equiv_pos_as_xyz
'x,y,z'
loop_
_atom_site_label
_atom_site_type_symbol
_atom_site_fract_x
_atom_site_fract_y
_atom_site_fract_z
Pt1 Pt 0.500 0.500 0.000
S1 S 0.418 0.169 0.000
Pt2 Pt 0.500 0.000 0.500
Pt3 Pt 0.000 0.500 0.500
S2 S 0.169 0.418 0.000
S3 S 0.582 0.831 0.000
S4 S 0.853 0.147 0.500
S5 S 0.831 0.582 0.000
Cu1 Cu 0.000 0.000 0.000
S6 S 0.147 0.853 0.500

---

[5]
# BaMo2W2 (GGA-PBE, relaxed)
# Electronic total energy in eV/atom: -9.1361
data_BaMo2W2
_chemical_formula_sum 'Ba1 Mo2 W2'
_cell_length_a 6.592
_cell_length_b 6.592
_cell_length_c 6.592
_cell_angle_alpha 141.23
_cell_angle_beta 141.23
_cell_angle_gamma 55.99
_symmetry_space_group_name_H-M 'P 1'
_symmetry_Int_Tables_number 1
loop_
_symmetry_equiv_pos_as_xyz
'x,y,z'
loop_
_atom_site_label
_atom_site_type_symbol
_atom_site_fract_x
_atom_site_fract_y
_atom_site_fract_z
W1 W 0.371 0.371 0.000
Mo1 Mo 0.750 0.250 0.500
W2 W 0.629 0.629 0.000
Ba1 Ba 0.000 0.000 0.000
Mo2 Mo 0.250 0.750 0.500

---

[6]
# YSc2Cd2 (GGA-PBE, relaxed)
# Formation energy from the elements in eV/atom: 0.08
data_YSc2Cd2
_chemical_formula_sum 'Y1 Sc2 Cd2'
_cell_length_a 7.228
_cell_length_b 7.228
_cell_length_c 7.228
_cell_angle_alpha 144.17
_cell_angle_beta 144.17
_cell_angle_gamma 51.58
_symmetry_space_group_name_H-M 'P 1'
_symmetry_Int_Tables_number 1
loop_
_symmetry_equiv_pos_as_xyz
'x,y,z'
loop_
_atom_site_label
_atom_site_type_symbol
_atom_site_fract_x
_atom_site_fract_y
_atom_site_fract_z
Cd1 Cd 0.750 0.250 0.500
Sc1 Sc 0.608 0.608 0.000
Cd2 Cd 0.250 0.750 0.500
Sc2 Sc 0.392 0.392 0.000
Y1 Y 0.000 0.000 0.000

---

[7]
# Gd2FePt (GGA-PBE, relaxed)
# Formation energy from the elements in eV/atom: -0.53
data_Gd2FePt
_chemical_formula_sum 'Gd4 Fe2 Pt2'
_cell_length_a 4.203
_cell_length_b 5.700
_cell_length_c 7.447
_cell_angle_alpha 90.00
_cell_angle_beta 90.00
_cell_angle_gamma 90.00
_symmetry_space_group_name_H-M 'P 1'
_symmetry_Int_Tables_number 1
loop_
_symmetry_equiv_pos_as_xyz
'x,y,z'
loop_
_atom_site_label
_atom_site_type_symbol
_atom_site_fract_x
_atom_site_fract_y
_atom_site_fract_z
Gd1 Gd 0.000 0.124 0.825
Pt1 Pt 0.500 0.130 0.538
Pt2 Pt 0.500 0.870 0.038
Fe1 Fe 0.000 0.378 0.462
Gd2 Gd 0.500 0.628 0.675
Gd3 Gd 0.000 0.876 0.325
Gd4 Gd 0.500 0.372 0.175
Fe2 Fe 0.000 0.622 0.962

---

[8]
# BaFeCl (GGA-PBE, relaxed)
# Electronic total energy in eV/atom: -4.5121
data_BaFeCl
_chemical_formula_sum 'Ba2 Fe2 Cl2'
_cell_length_a 9.401
_cell_length_b 9.401
_cell_length_c 9.401
_cell_angle_alpha 152.73
_cell_angle_beta 152.73
_cell_angle_gamma 38.95
_symmetry_space_group_name_H-M 'P 1'
_symmetry_Int_Tables_number 1
loop_
_symmetry_equiv_pos_as_xyz
'x,y,z'
loop_
_atom_site_label
_atom_site_type_symbol
_atom_site_fract_x
_atom_site_fract_y
_atom_site_fract_z
Cl1 Cl 0.807 0.807 0.000
Fe1 Fe 0.944 0.944 0.000
Fe2 Fe 0.056 0.056 0.000
Ba1 Ba 0.381 0.381 0.000
Ba2 Ba 0.619 0.619 0.000
Cl2 Cl 0.193 0.193 0.000